Compound: SbPb4Cl
Source: the Alexandria database
Functional: PBE
Structure: relaxed

Energy relative to the elements, uncorrected (eV/atom): 0.116
Electronic total energy (eV/atom): -3.352

abc: 6.4821 6.4821 6.4821
angles: 60.00 60.00 60.00
Positions (direct):
Sb (0.7500, 0.7500, 0.7500)
Pb (0.8740, 0.3753, 0.3753)
Pb (0.3753, 0.3753, 0.3753)
Pb (0.3753, 0.3753, 0.8740)
Pb (0.3753, 0.8740, 0.3753)
Cl (0.0000, 0.0000, 0.0000)

=====

Compound: K2Pd3F10
Source: the Alexandria database
Functional: PBE
Structure: relaxed

Energy relative to the elements, uncorrected (eV/atom): -1.705
Electronic total energy (eV/atom): -4.137

abc: 6.2724 8.4222 10.1739
angles: 110.38 107.95 90.00
Each line ends with the local moment (μB).
Positions (direct):
F (0.8620, 0.0411, 0.2230)  0.02
F (0.3697, 0.4869, 0.2952)  -0.01
F (0.6303, 0.5131, 0.7048)  -0.01
F (0.1380, 0.9589, 0.7770)  0.02
F (0.0745, 0.5131, 0.7048)  -0.01
Pd (0.9237, 0.5174, 0.8475)  -0.26
F (0.7620, 0.7248, 0.5241)  0.00
F (0.9784, 0.8100, 0.9568)  0.07
K (0.2864, 0.6616, 0.5729)  0.00
K (0.6197, 0.7292, 0.2393)  0.00
F (0.2207, 0.5000, 0.0000)  -0.01
F (0.5150, 0.1792, 0.0300)  0.16
F (0.7793, 0.5000, 0.0000)  -0.01
Pd (0.7522, 0.0000, 0.0000)  0.84
F (0.6390, 0.9589, 0.7770)  0.02
F (0.2380, 0.2752, 0.4759)  0.00
K (0.3803, 0.2708, 0.7607)  0.00
F (0.9255, 0.4869, 0.2952)  -0.01
Pd (0.1825, 0.0249, 0.3649)  -0.01
F (0.5000, 0.0000, 0.5000)  0.00
Pd (0.2478, 0.0000, 0.0000)  0.84
F (0.0216, 0.1900, 0.0432)  0.07
F (0.1306, 0.7721, 0.2613)  -0.01
K (0.7136, 0.3384, 0.4271)  0.00
F (0.0000, 0.0000, 0.5000)  0.00
F (0.4850, 0.8208, 0.9700)  0.16
F (0.8694, 0.2279, 0.7387)  -0.01
Pd (0.8175, 0.9751, 0.6351)  -0.01
F (0.3610, 0.0411, 0.2230)  0.02
Pd (0.0763, 0.4826, 0.1525)  -0.26

=====

Compound: TlGeOs2
Source: the Alexandria database
Functional: PBE
Structure: relaxed

Electronic total energy (eV/atom): -6.420
Calculated formation energy (meV per atom): 941.2
Polymorph energy (0 for the lowest one) (eV/atom): 0.097

abc: 4.2994 4.2994 9.4234
angles: 76.81 76.81 90.00
Positions (direct):
Os (0.8750, 0.7608, 0.7500)
Ge (0.2500, 0.7500, 0.5000)
Os (0.5108, 0.1250, 0.2500)
Os (0.2392, 0.6250, 0.2500)
Tl (0.0000, 0.0000, 0.0000)
Tl (0.7500, 0.2500, 0.5000)
Os (0.3750, 0.4892, 0.7500)
Ge (0.5000, 0.5000, 0.0000)

=====

Compound: U2RhS4Cl
Source: the Alexandria database
Functional: PBE
Structure: relaxed

Energy relative to the elements, uncorrected (eV/atom): -1.107
Electronic total energy (eV/atom): -7.143

abc: 3.8475 6.1304 7.9786
angles: 61.59 76.05 71.71
Each line ends with the local moment (μB).
Positions (direct):
Cl (0.5000, 0.5000, 0.5000)  -0.03
S (0.1614, 0.9944, 0.6827)  -0.05
U (0.1818, 0.3509, 0.2855)  2.23
S (0.8386, 0.0056, 0.3173)  -0.05
Rh (0.0000, 0.0000, 0.0000)  0.27
S (0.3751, 0.3021, 0.9476)  -0.04
U (0.8182, 0.6491, 0.7145)  2.23
S (0.6249, 0.6979, 0.0524)  -0.04

=====

Compound: MgCd2GeAu
Source: the Alexandria database
Functional: PBE
Structure: relaxed

Electronic total energy (eV/atom): -1.999
Calculated formation energy (meV per atom): 264.4

abc: 5.2156 5.0445 5.2156
angles: 90.00 90.00 90.00
Positions (direct):
Au (0.0000, 0.0000, 0.0000)
Cd (0.0000, 0.0000, 0.5000)
Ge (0.5000, 0.5000, 0.5000)
Cd (0.5000, 0.0000, 0.0000)
Mg (0.0000, 0.5000, 0.0000)

=====

Compound: GaTc3W
Source: the Alexandria database
Functional: PBE
Structure: relaxed

Electronic total energy (eV/atom): -7.721
Calculated formation energy (meV per atom): 1694.9
Polymorph energy (0 for the lowest one) (eV/atom): 0.173

abc: 4.7252 4.7252 4.7252
angles: 90.00 90.00 90.00
Each line ends with the local moment (μB).
Positions (direct):
Tc (0.0000, 0.0000, 0.5000)  0.94
W (0.0000, 0.0000, 0.0000)  -0.16
Tc (0.0000, 0.5000, 0.0000)  0.85
Tc (0.5000, 0.0000, 0.0000)  0.81
Ga (0.5000, 0.5000, 0.5000)  0.00

=====

Compound: Ta3SbF
Source: the Alexandria database
Functional: PBE
Structure: relaxed

Energy relative to the elements, uncorrected (eV/atom): 0.178
Electronic total energy (eV/atom): -8.132
Polymorph energy (0 for the lowest one) (eV/atom): 0.000

abc: 4.3977 4.3977 4.3977
angles: 90.00 90.00 90.00
Positions (direct):
Ta (0.0000, 0.5000, 0.0000)
Ta (0.5000, 0.0000, 0.0000)
Ta (0.0000, 0.0000, 0.5000)
F (0.0000, 0.0000, 0.0000)
Sb (0.5000, 0.5000, 0.5000)

=====

Compound: Sb2HPdI
Source: the Alexandria database
Functional: PBE
Structure: relaxed

Electronic total energy (eV/atom): -3.133
Polymorph energy (0 for the lowest one) (eV/atom): 0.000

abc: 4.3750 4.3750 5.7328
angles: 90.00 90.00 90.00
Positions (direct):
Sb (0.5000, 0.0000, 0.0000)
H (0.0000, 0.0000, 0.0000)
Pd (0.5000, 0.5000, 0.5000)
I (0.0000, 0.0000, 0.5000)
Sb (0.0000, 0.5000, 0.0000)

=====

Compound: ScAs2Br
Source: the Alexandria database
Functional: PBE
Structure: relaxed

Energy relative to the elements, uncorrected (eV/atom): -0.502
Electronic total energy (eV/atom): -4.828
Polymorph energy (0 for the lowest one) (eV/atom): 0.301

abc: 9.2623 9.2623 9.2623
angles: 22.35 22.35 22.35
Positions (direct):
As (0.0043, 0.0043, 0.0043)
Sc (0.7429, 0.7429, 0.7429)
As (0.2788, 0.2788, 0.2788)
Br (0.4740, 0.4740, 0.4740)

=====

Compound: Tb3Sm2Tm9
Source: the Alexandria database
Functional: PBE
Structure: relaxed

Electronic total energy (eV/atom): -4.420
Calculated formation energy (meV per atom): 120.6

abc: 6.1706 10.3080 13.2134
angles: 40.88 55.74 57.00
Positions (direct):
Tb (0.3583, 0.6537, 0.7292)
Tm (0.4091, 0.9914, 0.6918)
Tm (0.1954, 0.5146, 0.1051)
Tm (0.7427, 0.8310, 0.9158)
Tm (0.2572, 0.1690, 0.0842)
Sm (0.5737, 0.6742, 0.2962)
Tm (0.8046, 0.4854, 0.8950)
Tm (0.5912, 0.0085, 0.3081)
Tm (0.9858, 0.1585, 0.5082)
Tm (0.0001, 0.4998, 0.5002)
Tb (0.6419, 0.3461, 0.2709)
Tm (0.0144, 0.8414, 0.4919)
Sm (0.4264, 0.3258, 0.7038)
Tb (0.9994, 0.0005, 0.9995)

=====

Compound: BaPd2PbF8
Source: the Alexandria database
Functional: PBE
Structure: relaxed

Energy relative to the elements, uncorrected (eV/atom): -1.843
Electronic total energy (eV/atom): -4.425

abc: 6.5614 6.5614 7.7586
angles: 90.00 90.00 120.00
Each line ends with the local moment (μB).
Positions (direct):
F (0.6667, 0.3333, 0.5496)  0.22
F (0.1482, 0.8518, 0.7728)  0.09
F (0.1482, 0.2965, 0.7728)  0.09
Ba (0.0000, 0.0000, 0.5000)  0.00
F (0.2965, 0.1482, 0.2272)  0.09
Pd (0.6667, 0.3333, 0.2874)  1.36
F (0.3333, 0.6667, 0.4504)  0.22
Pb (0.0000, 0.0000, 0.0000)  0.03
Pd (0.3333, 0.6667, 0.7126)  1.36
F (0.7035, 0.8518, 0.7728)  0.09
F (0.8518, 0.7035, 0.2272)  0.09
F (0.8518, 0.1482, 0.2272)  0.09

=====

Compound: MgTi2Au
Source: the Alexandria database
Functional: PBE
Structure: relaxed

Electronic total energy (eV/atom): -5.361
Calculated formation energy (meV per atom): -195.7

abc: 4.2979 4.0359 4.0359
angles: 90.00 90.00 90.00
Each line ends with the local moment (μB).
Positions (direct):
Ti (0.0000, 0.0000, 0.5000)  0.65
Au (0.5000, 0.0000, 0.0000)  0.03
Ti (0.0000, 0.5000, 0.0000)  0.65
Mg (0.5000, 0.5000, 0.5000)  0.00

=====

Compound: NbIrCI
Source: the Alexandria database
Functional: PBE
Structure: relaxed

Energy relative to the elements, uncorrected (eV/atom): 0.245
Electronic total energy (eV/atom): -7.181
Polymorph energy (0 for the lowest one) (eV/atom): 0.030

abc: 3.1591 3.1242 14.3841
angles: 90.00 90.00 90.00
Positions (direct):
C (0.0000, 0.0000, 0.0268)
Nb (0.5000, 0.0000, 0.5400)
I (0.5000, 0.0000, 0.3312)
Ir (0.0000, 0.0000, 0.1678)
I (0.5000, 0.5000, 0.8312)
Nb (0.5000, 0.5000, 0.0400)
Ir (0.0000, 0.5000, 0.6678)
C (0.0000, 0.5000, 0.5268)

=====

Compound: RbPt2W
Source: the Alexandria database
Functional: PBE
Structure: relaxed

Electronic total energy (eV/atom): -5.366
Calculated formation energy (meV per atom): 1134.9
Polymorph energy (0 for the lowest one) (eV/atom): 0.383

abc: 4.8156 4.8156 4.8156
angles: 60.00 60.00 60.00
Each line ends with the local moment (μB).
Positions (direct):
Rb (0.0000, 0.0000, 0.0000)  0.01
Pt (0.7500, 0.7500, 0.7500)  0.03
Pt (0.2500, 0.2500, 0.2500)  0.03
W (0.5000, 0.5000, 0.5000)  1.32

=====

Compound: LaNi3H8Pd2
Source: the Alexandria database
Functional: PBE
Structure: relaxed

Electronic total energy (eV/atom): -4.441

abc: 5.4708 5.4708 5.6708
angles: 61.16 61.16 60.00
Positions (direct):
H (0.7295, 0.7295, 0.1766)
H (0.2430, 0.2430, 0.8058)
La (0.8714, 0.8714, 0.3859)
Ni (0.0064, 0.4977, 0.9982)
Ni (0.4977, 0.4977, 0.9982)
Ni (0.4977, 0.0064, 0.9982)
H (0.7082, 0.2430, 0.8058)
H (0.2430, 0.7082, 0.8058)
H (0.2646, 0.2646, 0.2062)
Pd (0.4954, 0.4954, 0.5139)
Pd (0.1303, 0.1303, 0.6090)
H (0.7295, 0.3643, 0.1766)
H (0.3643, 0.7295, 0.1766)
H (0.7116, 0.7116, 0.8651)

=====

Compound: HfNi2I2
Source: the Alexandria database
Functional: PBE
Structure: relaxed

Energy relative to the elements, uncorrected (eV/atom): 0.504
Electronic total energy (eV/atom): -4.420
Polymorph energy (0 for the lowest one) (eV/atom): 0.093

abc: 7.5210 7.5210 3.4672
angles: 90.00 90.00 90.00
Positions (direct):
Ni (0.6426, 0.8574, 0.5000)
Ni (0.3574, 0.1426, 0.5000)
I (0.8349, 0.6651, 0.0000)
I (0.6651, 0.1651, 0.0000)
Ni (0.8574, 0.3574, 0.5000)
Hf (0.0000, 0.0000, 0.0000)
I (0.1651, 0.3349, 0.0000)
Hf (0.5000, 0.5000, 0.0000)
I (0.3349, 0.8349, 0.0000)
Ni (0.1426, 0.6426, 0.5000)

=====

Compound: KSbBr2
Source: the Alexandria database
Functional: PBE
Structure: relaxed

Energy relative to the elements, uncorrected (eV/atom): -0.712
Electronic total energy (eV/atom): -2.853
Polymorph energy (0 for the lowest one) (eV/atom): 0.064

abc: 6.3684 6.3684 6.3684
angles: 140.34 120.93 73.51
Positions (direct):
K (0.7500, 0.2500, 0.5000)
Br (0.0575, 0.0575, 0.0000)
Br (0.4425, 0.4425, 0.0000)
Sb (0.2500, 0.7500, 0.5000)

=====

Compound: CrBiAu
Source: the Alexandria database
Functional: PBE
Structure: relaxed

Electronic total energy (eV/atom): -5.311
Calculated formation energy (meV per atom): 283.1
Polymorph energy (0 for the lowest one) (eV/atom): 0.023

abc: 3.3360 3.3363 6.2710
angles: 90.30 90.16 90.00
Each line ends with the local moment (μB).
Positions (direct):
Bi (0.3008, 0.3583, 0.3792)  -0.10
Cr (0.7991, 0.8556, 0.0782)  3.55
Au (0.2980, 0.3532, 0.8434)  0.10

=====

Compound: Ce2HN2
Source: the Alexandria database
Functional: PBE
Structure: relaxed

Electronic total energy (eV/atom): -7.581

abc: 3.9885 3.9885 5.5537
angles: 90.00 90.00 120.00
Each line ends with the local moment (μB).
Positions (direct):
N (0.6667, 0.3333, 0.3258)  -0.04
Ce (0.6667, 0.3333, 0.7451)  0.52
Ce (0.3333, 0.6667, 0.2549)  0.52
N (0.3333, 0.6667, 0.6742)  -0.04
H (0.0000, 0.0000, 0.0000)  -0.01

=====

Compound: HfTiAl2C
Source: the Alexandria database
Functional: PBE
Structure: relaxed

Electronic total energy (eV/atom): -5.975
Calculated formation energy (meV per atom): 936.9

abc: 4.8247 3.9581 4.8247
angles: 90.00 90.00 90.00
Positions (direct):
Ti (0.0000, 0.0000, 0.0000)
C (0.0000, 0.5000, 0.0000)
Al (0.0000, 0.0000, 0.5000)
Al (0.5000, 0.0000, 0.0000)
Hf (0.5000, 0.5000, 0.5000)

=====

Compound: CsSbRh3
Source: the Alexandria database
Functional: PBE
Structure: relaxed

Energy relative to the elements, uncorrected (eV/atom): 0.630
Electronic total energy (eV/atom): -4.776
Polymorph energy (0 for the lowest one) (eV/atom): 0.000

abc: 5.0235 5.0235 5.0235
angles: 90.00 90.00 90.00
Each line ends with the local moment (μB).
Positions (direct):
Rh (0.5000, 0.0000, 0.0000)  0.10
Rh (0.0000, 0.0000, 0.5000)  0.12
Rh (0.0000, 0.5000, 0.0000)  0.11
Sb (0.0000, 0.0000, 0.0000)  -0.01
Cs (0.5000, 0.5000, 0.5000)  0.00

=====

Compound: YReOs
Source: the Alexandria database
Functional: PBE
Structure: relaxed

Electronic total energy (eV/atom): -9.526
Calculated formation energy (meV per atom): 521.0
Polymorph energy (0 for the lowest one) (eV/atom): 0.760

abc: 4.4649 4.4649 4.4649
angles: 60.00 60.00 60.00
Positions (direct):
Y (0.5000, 0.5000, 0.5000)
Os (0.7500, 0.7500, 0.7500)
Re (0.0000, 0.0000, 0.0000)

=====

Compound: V2Ni2Pt7
Source: the Alexandria database
Functional: PBE
Structure: relaxed

Electronic total energy (eV/atom): -6.647
Calculated formation energy (meV per atom): -93.5

abc: 5.8247 5.0504 5.8247
angles: 87.69 99.21 92.31
Positions (direct):
Pt (0.0000, 0.0000, 0.0000)
Pt (0.4250, 0.2372, 0.9381)
Ni (0.8045, 0.3325, 0.1955)
Pt (0.5300, 0.2479, 0.4700)
Pt (0.5750, 0.7628, 0.0619)
Pt (0.9381, 0.7628, 0.4250)
Pt (0.4700, 0.7521, 0.5300)
V (0.8004, 0.5000, 0.8004)
Ni (0.1955, 0.6675, 0.8045)
V (0.1996, 0.5000, 0.1996)
Pt (0.0619, 0.2372, 0.5750)